# 1
Compound: Ba2BeFe
Source: Alexandria
Functional: PBE
Structure: optimized geometry

Values from the calculation:
space-group type	C2/m
ΔH_f (0 K)	0.969	eV/atom

Geometry as POSCAR:
```
Ba2BeFe
1.0
4.551 0.084 -0.041
2.905 3.504 -0.041
1.472 0.709 8.597
Ba Fe Be
2 1 1
Direct
0.504 0.504 0.503
0.996 0.996 0.997
0.750 0.750 0.750
0.250 0.250 0.250
```

# 2
Compound: RbGaSnTe4
Source: Alexandria
Functional: PBE
Structure: optimized geometry

Values from the calculation:
raw total energy	-46.55	eV per cell
space-group type	P2_1/m

Geometry as POSCAR:
```
RbGaSnTe4
1.0
-0.169 0.196 8.094
-0.950 -6.314 0.133
10.374 -1.604 -2.051
Ga Te Rb Sn
2 8 2 2
Direct
0.770 0.250 0.673
0.230 0.750 0.327
0.968 0.485 0.271
0.032 0.515 0.729
0.399 0.750 0.565
0.559 0.250 0.827
0.032 0.985 0.729
0.441 0.750 0.173
0.968 0.015 0.271
0.601 0.250 0.435
0.248 0.250 0.048
0.752 0.750 0.952
0.697 0.750 0.414
0.303 0.250 0.586
```

# 3
Compound: InGa3Au3
Source: Alexandria
Functional: PBE
Structure: optimized geometry

Values from the calculation:
space-group type	Pm-3n
ΔH_f (0 K)	0.035	eV/atom

Geometry as POSCAR:
```
InGa3Au3
1.0
-2.721 5.365 3.933
-5.785 0.190 -4.261
-3.284 -4.778 4.247
Ga In Au
6 2 6
Direct
0.500 0.750 0.000
0.500 0.250 0.000
0.000 0.500 0.250
0.250 0.000 0.500
0.750 0.000 0.500
0.000 0.500 0.750
0.000 0.000 0.000
0.500 0.500 0.500
0.500 0.000 0.750
0.750 0.500 0.000
0.250 0.500 0.000
0.500 0.000 0.250
0.000 0.750 0.500
0.000 0.250 0.500
```

# 4
Compound: Pr3Sm2DyY6
Source: Alexandria
Functional: PBE
Structure: optimized geometry

Values from the calculation:
space-group type	C2/m
ΔH_f (0 K)	0.013	eV/atom

Geometry as POSCAR:
```
Pr3Sm2DyY6
1.0
-3.531 3.959 3.347
-2.724 -4.429 -3.508
2.398 -7.234 9.134
Y Pr Sm Dy
6 3 2 1
Direct
0.082 0.415 0.247
0.585 0.918 0.753
0.749 0.749 0.247
0.918 0.585 0.753
0.251 0.251 0.753
0.415 0.082 0.247
0.833 0.167 0.500
0.167 0.833 0.500
0.500 0.500 0.500
0.334 0.666 0.000
0.666 0.334 0.000
0.000 0.000 0.000
```